Record 1
# TiCuHRh2 PBE relaxed
# E above lowest polymorph: 45 meV/atom
# Uncorrected energy: -6.402 eV/atom
# Magnetic moment: 0.0 μB/cell
data_TiCuHRh2
_cell_length_a 3.925
_cell_length_b 3.925
_cell_length_c 3.791
_cell_angle_alpha 90.00
_cell_angle_beta 90.00
_cell_angle_gamma 90.00
_symmetry_space_group_name_H-M 'P 1'
_symmetry_Int_Tables_number 1
_symmetry_space_group_name_Hall 'P 1'
loop_
_atom_site_label
_atom_site_type_symbol
_atom_site_fract_x
_atom_site_fract_y
_atom_site_fract_z
_atom_site_occupancy
Ti1 Ti 0.000 0.000 0.000 1
Cu1 Cu 0.500 0.500 0.000 1
H1 H 0.000 0.000 0.500 1
Rh1 Rh 0.000 0.500 0.500 1
Rh2 Rh 0.500 0.000 0.500 1

=====

Record 2
# TiVS2Cl PBE relaxed
# Energy relative to the elements, uncorrected: -1.97 kcal/mol of atoms
# E above lowest polymorph: 80 meV/atom
# Uncorrected energy: -5.508 eV/atom
# Magnetic moment: 0.0 μB/cell
data_TiVS2Cl
_cell_length_a 4.749
_cell_length_b 4.749
_cell_length_c 4.593
_cell_angle_alpha 90.00
_cell_angle_beta 90.00
_cell_angle_gamma 90.00
_symmetry_space_group_name_H-M 'P 1'
_symmetry_Int_Tables_number 1
_symmetry_space_group_name_Hall 'P 1'
loop_
_atom_site_label
_atom_site_type_symbol
_atom_site_fract_x
_atom_site_fract_y
_atom_site_fract_z
_atom_site_occupancy
Ti1 Ti 0.000 0.000 0.000 1
V1 V 0.500 0.500 0.500 1
S1 S 0.000 0.500 0.000 1
S2 S 0.500 0.000 0.000 1
Cl1 Cl 0.000 0.000 0.500 1

=====

Record 3
# In2CuMo2 PBE relaxed
# E above lowest polymorph: 450 meV/atom
# Uncorrected energy: -5.347 eV/atom
# Magnetic moment: 0.0 μB/cell
# Energy of formation: 4.5 eV/f.u.
data_In2CuMo2
_cell_length_a 7.133
_cell_length_b 7.133
_cell_length_c 7.133
_cell_angle_alpha 148.01
_cell_angle_beta 148.01
_cell_angle_gamma 45.86
_symmetry_space_group_name_H-M 'P 1'
_symmetry_Int_Tables_number 1
_symmetry_space_group_name_Hall 'P 1'
loop_
_atom_site_label
_atom_site_type_symbol
_atom_site_fract_x
_atom_site_fract_y
_atom_site_fract_z
_atom_site_occupancy
In1 In 0.250 0.750 0.500 1
In2 In 0.750 0.250 0.500 1
Cu1 Cu 0.000 0.000 0.000 1
Mo1 Mo 0.416 0.416 0.000 1
Mo2 Mo 0.584 0.584 0.000 1

=====

Record 4
# LiLa2PtO6 PBE relaxed
# Energy relative to the elements, uncorrected: -52.02 kcal/mol of atoms
# Uncorrected energy: -7.012 eV/atom
# Magnetic moment: 1.3 μB/cell
data_LiLa2PtO6
_cell_length_a 5.560
_cell_length_b 5.838
_cell_length_c 9.631
_cell_angle_alpha 90.00
_cell_angle_beta 124.99
_cell_angle_gamma 90.00
_symmetry_space_group_name_H-M 'P 1'
_symmetry_Int_Tables_number 1
_symmetry_space_group_name_Hall 'P 1'
loop_
_atom_site_label
_atom_site_type_symbol
_atom_site_fract_x
_atom_site_fract_y
_atom_site_fract_z
_atom_site_occupancy
Li1 Li 0.000 0.000 0.000 1
Li2 Li 0.000 0.500 0.500 1
La1 La 0.235 0.063 0.749 1
La2 La 0.235 0.437 0.249 1
La3 La 0.765 0.563 0.751 1
La4 La 0.765 0.937 0.251 1
Pt1 Pt 0.500 0.000 0.500 1
Pt2 Pt 0.500 0.500 0.000 1
O1 O 0.158 0.192 0.453 1
O2 O 0.158 0.308 0.953 1
O3 O 0.266 0.711 0.453 1
O4 O 0.266 0.789 0.953 1
O5 O 0.343 0.027 0.254 1
O6 O 0.343 0.473 0.754 1
O7 O 0.657 0.527 0.246 1
O8 O 0.657 0.973 0.746 1
O9 O 0.734 0.211 0.047 1
O10 O 0.734 0.289 0.547 1
O11 O 0.842 0.692 0.047 1
O12 O 0.842 0.808 0.547 1

=====

Record 5
# BaSrH PBE relaxed
# E above lowest polymorph: 12 meV/atom
# Uncorrected energy: -2.535 eV/atom
# Magnetic moment: 0.0 μB/cell
data_BaSrH
_cell_length_a 8.116
_cell_length_b 8.116
_cell_length_c 7.287
_cell_angle_alpha 115.69
_cell_angle_beta 115.69
_cell_angle_gamma 30.93
_symmetry_space_group_name_H-M 'P 1'
_symmetry_Int_Tables_number 1
_symmetry_space_group_name_Hall 'P 1'
loop_
_atom_site_label
_atom_site_type_symbol
_atom_site_fract_x
_atom_site_fract_y
_atom_site_fract_z
_atom_site_occupancy
Ba1 Ba 0.000 0.000 0.000 1
Ba2 Ba 0.517 0.517 0.531 1
Sr1 Sr 0.273 0.273 0.913 1
Sr2 Sr 0.775 0.775 0.451 1
H1 H 0.390 0.390 0.716 1
H2 H 0.808 0.808 0.810 1

=====

Record 6
# Ba2GaN2 PBE relaxed
# Energy relative to the elements, uncorrected: -8.52 kcal/mol of atoms
# Uncorrected energy: -5.074 eV/atom
# Magnetic moment: 0.0 μB/cell
data_Ba2GaN2
_cell_length_a 6.786
_cell_length_b 6.786
_cell_length_c 7.439
_cell_angle_alpha 119.02
_cell_angle_beta 119.02
_cell_angle_gamma 51.64
_symmetry_space_group_name_H-M 'P 1'
_symmetry_Int_Tables_number 1
_symmetry_space_group_name_Hall 'P 1'
loop_
_atom_site_label
_atom_site_type_symbol
_atom_site_fract_x
_atom_site_fract_y
_atom_site_fract_z
_atom_site_occupancy
Ba1 Ba 0.041 0.041 0.280 1
Ba2 Ba 0.324 0.324 0.900 1
Ba3 Ba 0.676 0.676 0.100 1
Ba4 Ba 0.959 0.959 0.720 1
Ga1 Ga 0.368 0.368 0.370 1
Ga2 Ga 0.632 0.632 0.630 1
N1 N 0.192 0.192 0.129 1
N2 N 0.482 0.482 0.683 1
N3 N 0.518 0.518 0.317 1
N4 N 0.808 0.808 0.871 1

=====

Record 7
# Li5PuSe4 PBE relaxed
# Energy relative to the elements, uncorrected: -29.34 kcal/mol of atoms
# Uncorrected energy: -5.056 eV/atom
# Magnetic moment: 5.0 μB/cell
data_Li5PuSe4
_cell_length_a 8.239
_cell_length_b 8.239
_cell_length_c 8.239
_cell_angle_alpha 150.83
_cell_angle_beta 126.32
_cell_angle_gamma 62.26
_symmetry_space_group_name_H-M 'P 1'
_symmetry_Int_Tables_number 1
_symmetry_space_group_name_Hall 'P 1'
loop_
_atom_site_label
_atom_site_type_symbol
_atom_site_fract_x
_atom_site_fract_y
_atom_site_fract_z
_atom_site_occupancy
Li1 Li 0.000 0.000 0.000 1
Li2 Li 0.113 0.320 0.793 1
Li3 Li 0.473 0.680 0.793 1
Li4 Li 0.527 0.320 0.207 1
Li5 Li 0.887 0.680 0.207 1
Pu1 Pu 0.500 0.000 0.500 1
Se1 Se 0.234 0.500 0.734 1
Se2 Se 0.287 0.787 0.500 1
Se3 Se 0.713 0.213 0.500 1
Se4 Se 0.766 0.500 0.266 1

=====

Record 8
# Ba2CrSb PBE relaxed
# Energy relative to the elements, uncorrected: -1.37 kcal/mol of atoms
# Uncorrected energy: -4.457 eV/atom
# Magnetic moment: 5.0 μB/cell
data_Ba2CrSb
_cell_length_a 4.401
_cell_length_b 4.401
_cell_length_c 7.822
_cell_angle_alpha 90.00
_cell_angle_beta 90.00
_cell_angle_gamma 90.00
_symmetry_space_group_name_H-M 'P 1'
_symmetry_Int_Tables_number 1
_symmetry_space_group_name_Hall 'P 1'
loop_
_atom_site_label
_atom_site_type_symbol
_atom_site_fract_x
_atom_site_fract_y
_atom_site_fract_z
_atom_site_occupancy
Ba1 Ba 0.000 0.000 0.229 1
Ba2 Ba 0.000 0.000 0.771 1
Cr1 Cr 0.500 0.500 0.500 1
Sb1 Sb 0.500 0.500 0.000 1

=====

Record 9
# YRu2Pt PBE relaxed
# E above lowest polymorph: 183 meV/atom
# Uncorrected energy: -7.795 eV/atom
# Magnetic moment: 0.0 μB/cell
# Energy of formation: -0.1 eV/f.u.
data_YRu2Pt
_cell_length_a 4.867
_cell_length_b 4.867
_cell_length_c 2.972
_cell_angle_alpha 90.00
_cell_angle_beta 90.00
_cell_angle_gamma 107.39
_symmetry_space_group_name_H-M 'P 1'
_symmetry_Int_Tables_number 1
_symmetry_space_group_name_Hall 'P 1'
loop_
_atom_site_label
_atom_site_type_symbol
_atom_site_fract_x
_atom_site_fract_y
_atom_site_fract_z
_atom_site_occupancy
Y1 Y 0.000 0.000 0.000 1
Ru1 Ru 0.000 0.500 0.500 1
Ru2 Ru 0.500 0.000 0.500 1
Pt1 Pt 0.500 0.500 0.000 1

=====

Record 10
# InRhSe2 PBE relaxed
# Energy relative to the elements, uncorrected: -5.36 kcal/mol of atoms
# Uncorrected energy: -4.497 eV/atom
# Magnetic moment: 0.0 μB/cell
data_InRhSe2
_cell_length_a 7.290
_cell_length_b 7.290
_cell_length_c 7.290
_cell_angle_alpha 131.35
_cell_angle_beta 131.35
_cell_angle_gamma 71.26
_symmetry_space_group_name_H-M 'P 1'
_symmetry_Int_Tables_number 1
_symmetry_space_group_name_Hall 'P 1'
loop_
_atom_site_label
_atom_site_type_symbol
_atom_site_fract_x
_atom_site_fract_y
_atom_site_fract_z
_atom_site_occupancy
In1 In 0.000 0.000 0.000 1
In2 In 0.750 0.250 0.500 1
Rh1 Rh 0.250 0.750 0.500 1
Rh2 Rh 0.500 0.500 0.000 1
Se1 Se 0.177 0.625 0.052 1
Se2 Se 0.375 0.427 0.552 1
Se3 Se 0.573 0.125 0.948 1
Se4 Se 0.875 0.823 0.448 1

=====

Record 11
# PaNbW4 PBE relaxed
# Uncorrected energy: -11.679 eV/atom
# Magnetic moment: 0.0 μB/cell
# Energy of formation: 1.3 eV/f.u.
data_PaNbW4
_cell_length_a 5.448
_cell_length_b 5.448
_cell_length_c 5.448
_cell_angle_alpha 60.00
_cell_angle_beta 60.00
_cell_angle_gamma 60.00
_symmetry_space_group_name_H-M 'P 1'
_symmetry_Int_Tables_number 1
_symmetry_space_group_name_Hall 'P 1'
loop_
_atom_site_label
_atom_site_type_symbol
_atom_site_fract_x
_atom_site_fract_y
_atom_site_fract_z
_atom_site_occupancy
Pa1 Pa 0.000 0.000 0.000 1
Nb1 Nb 0.250 0.250 0.250 1
W1 W 0.125 0.625 0.625 1
W2 W 0.625 0.125 0.625 1
W3 W 0.625 0.625 0.125 1
W4 W 0.625 0.625 0.625 1

=====

Record 12
# BeCo2Br PBE relaxed
# Energy relative to the elements, uncorrected: 8.73 kcal/mol of atoms
# E above lowest polymorph: 59 meV/atom
# Uncorrected energy: -4.524 eV/atom
# Magnetic moment: 2.7 μB/cell
data_BeCo2Br
_cell_length_a 3.418
_cell_length_b 3.418
_cell_length_c 5.862
_cell_angle_alpha 106.67
_cell_angle_beta 106.67
_cell_angle_gamma 59.72
_symmetry_space_group_name_H-M 'P 1'
_symmetry_Int_Tables_number 1
_symmetry_space_group_name_Hall 'P 1'
loop_
_atom_site_label
_atom_site_type_symbol
_atom_site_fract_x
_atom_site_fract_y
_atom_site_fract_z
_atom_site_occupancy
Be1 Be 0.000 0.000 0.000 1
Co1 Co 0.283 0.283 0.848 1
Co2 Co 0.717 0.717 0.152 1
Br1 Br 0.500 0.500 0.500 1